(1)
The following is a DFT calculation (PBE) of YGa2W after structural relaxation.

Cell lengths 4.700, 4.700, 4.700 Å; angles 60.00, 60.00, 60.00 degrees
Sites, in units of the cell vectors:
Y 0.000 0.000 0.000
Ga 0.250 0.250 0.250
Ga 0.750 0.750 0.750
W 0.500 0.500 0.500

Results
Energy of formation from the pure elements = 0.057 eV per atom
Excess energy over the best structure of this formula in the dataset = 0.0 meV/atom
Magnetic moment = 0.0000 μB/atom

=====

(2)
The following is a DFT calculation (PBE) of YGa3W after structural relaxation.

Cell lengths 4.859, 4.859, 4.859 Å; angles 90.00, 90.00, 90.00 degrees
Sites, in units of the cell vectors:
Y 0.000 0.000 0.000
Ga 0.000 0.500 0.500
Ga 0.500 0.000 0.500
Ga 0.500 0.500 0.000
W 0.500 0.500 0.500

Results
Energy of formation from the pure elements = 0.084 eV per atom
Excess energy over the best structure of this formula in the dataset = 0.0 meV/atom
Magnetic moment = 0.0000 μB/atom

=====

(3)
The following is a DFT calculation (PBE) of YGaW2 after structural relaxation.

Cell lengths 10.445, 10.445, 10.445 Å; angles 157.99, 157.99, 31.33 degrees
Sites, in units of the cell vectors:
Y 0.000 0.000 0.000
Y 0.750 0.250 0.500
Ga 0.250 0.750 0.500
Ga 0.500 0.500 0.000
W 0.162 0.625 0.037
W 0.375 0.412 0.537
W 0.588 0.125 0.963
W 0.875 0.838 0.463

Results
Energy of formation from the pure elements = 0.652 eV per atom
Magnetic moment = 0.0000 μB/atom

=====

(4)
The following is a DFT calculation (PBE) of Y2GaW after structural relaxation.

Cell lengths 6.347, 6.347, 6.347 Å; angles 102.39, 102.39, 124.82 degrees
Sites, in units of the cell vectors:
Y 0.124 0.125 0.499
Y 0.375 0.876 0.001
Y 0.626 0.625 0.501
Y 0.875 0.374 0.999
Ga 0.000 0.000 0.000
Ga 0.750 0.250 0.500
W 0.250 0.750 0.500
W 0.500 0.500 0.000

Results
Energy of formation from the pure elements = 0.588 eV per atom
Magnetic moment = 0.0000 μB/atom

=====

(5)
The following is a DFT calculation (PBE) of Y2Ga2W after structural relaxation.

Cell lengths 7.116, 7.116, 4.226 Å; angles 90.00, 90.00, 90.00 degrees
Sites, in units of the cell vectors:
Y 0.179 0.321 0.000
Y 0.321 0.821 0.000
Y 0.679 0.179 0.000
Y 0.821 0.679 0.000
Ga 0.132 0.632 0.500
Ga 0.368 0.132 0.500
Ga 0.632 0.868 0.500
Ga 0.868 0.368 0.500
W 0.000 0.000 0.500
W 0.500 0.500 0.500

Results
Energy of formation from the pure elements = -0.140 eV per atom
Magnetic moment = 0.0002 μB/atom

=====

(6)
The following is a DFT calculation (PBE) of Y3GaW after structural relaxation.

Cell lengths 5.394, 5.394, 5.394 Å; angles 90.00, 90.00, 90.00 degrees
Sites, in units of the cell vectors:
Y 0.000 0.000 0.500
Y 0.000 0.500 0.000
Y 0.500 0.000 0.000
Ga 0.500 0.500 0.500
W 0.000 0.000 0.000

Results
Energy of formation from the pure elements = 0.601 eV per atom
Excess energy over the best structure of this formula in the dataset = 0.0 meV/atom
Magnetic moment = 0.0000 μB/atom

=====

(7)
The following is a DFT calculation (PBE) of YGa3W after structural relaxation.

Cell lengths 5.269, 5.269, 5.269 Å; angles 90.00, 90.00, 90.00 degrees
Sites, in units of the cell vectors:
Y 0.000 0.000 0.000
Ga 0.000 0.000 0.500
Ga 0.000 0.500 0.000
Ga 0.500 0.000 0.000
W 0.500 0.500 0.500

Results
Energy of formation from the pure elements = 1.738 eV per atom
Excess energy over the best structure of this formula in the dataset = 1654.6 meV/atom
Magnetic moment = 0.5401 μB/atom

=====

(8)
The following is a DFT calculation (PBE) of Zn3GaW after structural relaxation.

Cell lengths 4.960, 4.960, 4.960 Å; angles 90.00, 90.00, 90.00 degrees
Sites, in units of the cell vectors:
Zn 0.000 0.000 0.500
Zn 0.000 0.500 0.000
Zn 0.500 0.000 0.000
Ga 0.500 0.500 0.500
W 0.000 0.000 0.000

Results
Energy of formation from the pure elements = 1.118 eV per atom
Excess energy over the best structure of this formula in the dataset = 0.0 meV/atom
Magnetic moment = 0.0000 μB/atom

=====

(9)
The following is a DFT calculation (PBE) of Zn3GaW after structural relaxation.

Cell lengths 4.552, 4.552, 4.552 Å; angles 90.00, 90.00, 90.00 degrees
Sites, in units of the cell vectors:
Zn 0.000 0.000 0.500
Zn 0.000 0.500 0.000
Zn 0.500 0.000 0.000
Ga 0.000 0.000 0.000
W 0.500 0.500 0.500

Results
Energy of formation from the pure elements = 1.315 eV per atom
Excess energy over the best structure of this formula in the dataset = 197.5 meV/atom
Magnetic moment = 0.4080 μB/atom

=====

(10)
The following is a DFT calculation (PBE) of ZnGaW2 after structural relaxation.

Cell lengths 5.624, 5.624, 5.624 Å; angles 103.26, 103.26, 122.78 degrees
Sites, in units of the cell vectors:
Zn 0.000 0.000 0.000
Zn 0.750 0.250 0.500
Ga 0.250 0.750 0.500
Ga 0.500 0.500 0.000
W 0.128 0.625 0.003
W 0.375 0.378 0.503
W 0.622 0.125 0.997
W 0.875 0.872 0.497

Results
Energy of formation from the pure elements = 0.805 eV per atom
Excess energy over the best structure of this formula in the dataset = 268.5 meV/atom
Magnetic moment = 0.0000 μB/atom

=====

(11)
The following is a DFT calculation (PBE) of ZnGa6W after structural relaxation.

Cell lengths 4.893, 4.893, 7.982 Å; angles 114.97, 114.97, 67.23 degrees
Sites, in units of the cell vectors:
Zn 0.000 0.000 0.000
Ga 0.119 0.618 0.185
Ga 0.186 0.186 0.523
Ga 0.382 0.881 0.815
Ga 0.618 0.119 0.185
Ga 0.814 0.814 0.477
Ga 0.881 0.382 0.815
W 0.500 0.500 0.500

Results
Energy of formation from the pure elements = 0.209 eV per atom
Magnetic moment = 0.0000 μB/atom

=====

(12)
The following is a DFT calculation (PBE) of Zn2Ga2W after structural relaxation.

Cell lengths 7.073, 7.073, 3.116 Å; angles 90.00, 90.00, 90.00 degrees
Sites, in units of the cell vectors:
Zn 0.155 0.345 0.000
Zn 0.345 0.845 0.000
Zn 0.655 0.155 0.000
Zn 0.845 0.655 0.000
Ga 0.145 0.645 0.500
Ga 0.355 0.145 0.500
Ga 0.645 0.855 0.500
Ga 0.855 0.355 0.500
W 0.000 0.000 0.500
W 0.500 0.500 0.500

Results
Energy of formation from the pure elements = 0.347 eV per atom
Excess energy over the best structure of this formula in the dataset = 0.0 meV/atom
Magnetic moment = 0.0000 μB/atom

=====

(13)
The following is a DFT calculation (PBE) of ZnGa2W2 after structural relaxation.

Cell lengths 6.573, 6.573, 3.582 Å; angles 90.00, 90.00, 90.00 degrees
Sites, in units of the cell vectors:
Zn 0.000 0.000 0.000
Zn 0.500 0.500 0.000
Ga 0.136 0.364 0.000
Ga 0.364 0.864 0.000
Ga 0.636 0.136 0.000
Ga 0.864 0.636 0.000
W 0.163 0.663 0.500
W 0.337 0.163 0.500
W 0.663 0.837 0.500
W 0.837 0.337 0.500

Results
Energy of formation from the pure elements = 0.424 eV per atom
Magnetic moment = 0.0000 μB/atom

=====

(14)
The following is a DFT calculation (PBE) of ZnGaW3 after structural relaxation.

Cell lengths 4.588, 4.588, 4.588 Å; angles 90.00, 90.00, 90.00 degrees
Sites, in units of the cell vectors:
Zn 0.000 0.000 0.000
Ga 0.500 0.500 0.500
W 0.000 0.500 0.500
W 0.500 0.000 0.500
W 0.500 0.500 0.000

Results
Energy of formation from the pure elements = 1.926 eV per atom
Excess energy over the best structure of this formula in the dataset = 0.0 meV/atom
Magnetic moment = 0.0000 μB/atom

=====

(15)
The following is a DFT calculation (PBE) of Zn2Ga2W after structural relaxation.

Cell lengths 7.432, 7.432, 7.432 Å; angles 153.47, 153.47, 37.87 degrees
Sites, in units of the cell vectors:
Zn 0.250 0.750 0.500
Zn 0.750 0.250 0.500
Ga 0.093 0.093 0.000
Ga 0.907 0.907 0.000
W 0.500 0.500 0.000

Results
Energy of formation from the pure elements = 0.435 eV per atom
Excess energy over the best structure of this formula in the dataset = 88.1 meV/atom
Magnetic moment = 0.0000 μB/atom

=====

(16)
The following is a DFT calculation (PBE) of ZnGaW2 after structural relaxation.

Cell lengths 4.400, 4.400, 4.400 Å; angles 60.00, 60.00, 60.00 degrees
Sites, in units of the cell vectors:
Zn 0.000 0.000 0.000
Ga 0.500 0.500 0.500
W 0.250 0.250 0.250
W 0.750 0.750 0.750

Results
Energy of formation from the pure elements = 0.536 eV per atom
Excess energy over the best structure of this formula in the dataset = 0.0 meV/atom
Magnetic moment = 0.0000 μB/atom

=====

(17)
The following is a DFT calculation (PBE) of Zn2Ga2W after structural relaxation.

Cell lengths 7.189, 7.189, 2.973 Å; angles 90.00, 90.00, 90.00 degrees
Sites, in units of the cell vectors:
Zn 0.123 0.377 0.000
Zn 0.377 0.877 0.000
Zn 0.623 0.123 0.000
Zn 0.877 0.623 0.000
Ga 0.178 0.678 0.500
Ga 0.322 0.178 0.500
Ga 0.678 0.822 0.500
Ga 0.822 0.322 0.500
W 0.000 0.000 0.000
W 0.500 0.500 0.000

Results
Energy of formation from the pure elements = 0.382 eV per atom
Excess energy over the best structure of this formula in the dataset = 34.7 meV/atom
Magnetic moment = 0.0000 μB/atom

=====

(18)
The following is a DFT calculation (PBE) of Zr2Ga2W after structural relaxation.

Cell lengths 6.997, 6.997, 3.723 Å; angles 90.00, 90.00, 90.00 degrees
Sites, in units of the cell vectors:
Zr 0.178 0.322 0.000
Zr 0.322 0.822 0.000
Zr 0.678 0.178 0.000
Zr 0.822 0.678 0.000
Ga 0.127 0.627 0.500
Ga 0.373 0.127 0.500
Ga 0.627 0.873 0.500
Ga 0.873 0.373 0.500
W 0.000 0.000 0.500
W 0.500 0.500 0.500

Results
Energy of formation from the pure elements = -0.380 eV per atom
Magnetic moment = 0.0000 μB/atom

=====

(19)
The following is a DFT calculation (PBE) of Zr3GaW after structural relaxation.

Cell lengths 4.907, 4.907, 4.907 Å; angles 90.00, 90.00, 90.00 degrees
Sites, in units of the cell vectors:
Zr 0.000 0.000 0.500
Zr 0.000 0.500 0.000
Zr 0.500 0.000 0.000
Ga 0.000 0.000 0.000
W 0.500 0.500 0.500

Results
Energy of formation from the pure elements = 1.024 eV per atom
Excess energy over the best structure of this formula in the dataset = 200.1 meV/atom
Magnetic moment = 0.0000 μB/atom

=====

(20)
The following is a DFT calculation (PBE) of Zr3GaW after structural relaxation.

Cell lengths 5.079, 5.079, 5.079 Å; angles 90.00, 90.00, 90.00 degrees
Sites, in units of the cell vectors:
Zr 0.000 0.000 0.500
Zr 0.000 0.500 0.000
Zr 0.500 0.000 0.000
Ga 0.500 0.500 0.500
W 0.000 0.000 0.000

Results
Energy of formation from the pure elements = 0.824 eV per atom
Excess energy over the best structure of this formula in the dataset = 0.0 meV/atom
Magnetic moment = 0.0000 μB/atom

=====

Total energy per entry: -6.310; -5.616; -8.198; -6.639; -6.527; -6.474; -3.961; -2.843; -2.645; -6.747; -3.839; -3.964; -6.223; -6.706; -3.876; -7.016; -3.929; -7.600; -7.301; -7.501 eV per atom